P) Material: NbPd3Se
Method: DFT, PBE
State: optimized geometry

```
data_NbPd3Se
_cell_length_a 4.8629
_cell_length_b 4.8629
_cell_length_c 4.8629
_cell_angle_alpha 90.00
_cell_angle_beta 90.00
_cell_angle_gamma 90.00
_symmetry_space_group_name_H-M 'P m -3 m'
_symmetry_Int_Tables_number 221
_symmetry_space_group_name_Hall '-P 4 2 3'
loop_
_atom_site_label
_atom_site_type_symbol
_atom_site_fract_x
_atom_site_fract_y
_atom_site_fract_z
_atom_site_occupancy
Nb1 Nb 0.0000 0.0000 0.0000 1
Pd1 Pd 0.0000 0.0000 0.5000 1
Se1 Se 0.5000 0.5000 0.5000 1
```

---

Q) Material: NbPd3Se
Method: DFT, PBE
State: optimized geometry

```
data_NbPd3Se
_cell_length_a 4.6511
_cell_length_b 4.6511
_cell_length_c 4.6511
_cell_angle_alpha 90.00
_cell_angle_beta 90.00
_cell_angle_gamma 90.00
_symmetry_space_group_name_H-M 'P m -3 m'
_symmetry_Int_Tables_number 221
_symmetry_space_group_name_Hall '-P 4 2 3'
loop_
_atom_site_label
_atom_site_type_symbol
_atom_site_fract_x
_atom_site_fract_y
_atom_site_fract_z
_atom_site_occupancy
Nb1 Nb 0.0000 0.0000 0.0000 1
Pd1 Pd 0.0000 0.5000 0.5000 1
Se1 Se 0.5000 0.5000 0.5000 1
```

---

Ranked by calculated energy, most stable first: Q), P).

---

P) Material: Nb3SiPd
Method: DFT, PBE
State: optimized geometry

```
data_Nb3SiPd
_cell_length_a 4.8138
_cell_length_b 4.8138
_cell_length_c 4.8138
_cell_angle_alpha 90.00
_cell_angle_beta 90.00
_cell_angle_gamma 90.00
_symmetry_space_group_name_H-M 'P m -3 m'
_symmetry_Int_Tables_number 221
_symmetry_space_group_name_Hall '-P 4 2 3'
loop_
_atom_site_label
_atom_site_type_symbol
_atom_site_fract_x
_atom_site_fract_y
_atom_site_fract_z
_atom_site_occupancy
Nb1 Nb 0.0000 0.0000 0.5000 1
Si1 Si 0.5000 0.5000 0.5000 1
Pd1 Pd 0.0000 0.0000 0.0000 1
```

---

Q) Material: Nb3SiPd
Method: DFT, PBE
State: optimized geometry

```
data_Nb3SiPd
_cell_length_a 4.6329
_cell_length_b 4.6329
_cell_length_c 4.6329
_cell_angle_alpha 90.00
_cell_angle_beta 90.00
_cell_angle_gamma 90.00
_symmetry_space_group_name_H-M 'P m -3 m'
_symmetry_Int_Tables_number 221
_symmetry_space_group_name_Hall '-P 4 2 3'
loop_
_atom_site_label
_atom_site_type_symbol
_atom_site_fract_x
_atom_site_fract_y
_atom_site_fract_z
_atom_site_occupancy
Nb1 Nb 0.0000 0.0000 0.5000 1
Si1 Si 0.0000 0.0000 0.0000 1
Pd1 Pd 0.5000 0.5000 0.5000 1
```

---

Ranked by calculated energy, most stable first: Q), P).